[1]
This record from the Alexandria database describes a relaxed structure of LaNd7Th2. The functional is PBE-GGA.

Output
Size of the total moment, μB per formula unit: 0.00
Energy relative to the elements, meV/atom: 110

Cell lengths 6.6062, 6.8788, 8.5875 Å; angles 73.60, 71.27, 83.33 degrees
Closest atoms and distances in Å follow each position.
Sites, in units of the cell vectors:
1 La 0.0000 0.0000 0.0000  2 Th 3.46, 4 Nd 3.63-3.74
2 Nd 0.0000 0.0000 0.5000  8 Nd 3.54-3.95, 4 Th 3.63-3.70
3 Nd 0.1983 0.5913 0.7730  7 Nd 3.52-3.88, 3 Th 3.70-3.89, 1 La 3.74
4 Nd 0.2340 0.5413 0.3449  7 Nd 3.35-3.75, 2 Th 3.41-3.65
5 Nd 0.4237 0.2356 0.0594  1 Th 3.36, 6 Nd 3.50-3.70, 1 La 3.63
6 Nd 0.5763 0.7644 0.9406  1 Th 3.36, 6 Nd 3.50-3.70, 1 La 3.63
7 Nd 0.7660 0.4587 0.6551  7 Nd 3.35-3.75, 2 Th 3.41-3.65
8 Nd 0.8017 0.4087 0.2270  7 Nd 3.52-3.88, 3 Th 3.70-3.89, 1 La 3.74
9 Th 0.4326 0.1286 0.6371  1 Th 3.18, 2 Nd 3.36-3.41, 1 La 3.46
10 Th 0.5674 0.8714 0.3629  1 Th 3.18, 2 Nd 3.36-3.41, 1 La 3.46

---

[2]
This record from the Alexandria database describes a relaxed structure of GaCu2Sn. The functional is PBE-GGA.

Output
Size of the total moment, μB per formula unit: 0.00
Energy relative to the elements, meV/atom: 84

Cell lengths 5.2776, 5.2776, 5.2776 Å; angles 46.40, 46.40, 46.40 degrees
Closest atoms and distances in Å follow each position.
Sites, in units of the cell vectors:
1 Ga 0.0000 0.0000 0.0000  6 Cu 2.50-2.62, 1 Sn 2.75
2 Cu 0.3823 0.3823 0.3823  3 Ga 2.50, 3 Sn 2.71
3 Cu 0.5918 0.5918 0.5918  3 Ga 2.62, 3 Sn 2.94
4 Sn 0.8051 0.8051 0.8051  7 Cu 2.71-3.01, 1 Ga 2.75

---

[3]
This record from the Alexandria database describes a relaxed structure of K2Sc2Se2S. The functional is PBE-GGA.

Output
Size of the total moment, μB per formula unit: 0.50
Formation energy (no corrections), meV per atom: -1285

Cell lengths 8.9527, 8.9527, 8.9527 Å; angles 148.53, 148.53, 45.11 degrees
Closest atoms and distances in Å follow each position.
Sites, in units of the cell vectors:
1 K 0.1859 0.1859 0.0000  1 S 3.07, 1 Se 3.39
2 K 0.8141 0.8141 0.0000  1 S 3.07, 1 Se 3.39
3 Sc 0.0000 0.5000 0.5000  2 S 2.43
4 Sc 0.5000 0.0000 0.5000  2 S 2.43
5 Se 0.3910 0.3910 0.0000  4 Sc 3.02
6 Se 0.6090 0.6090 0.0000  4 Sc 3.02
7 S 0.0000 0.0000 0.0000  4 Sc 2.43

---

[4]
This record from the Alexandria database describes a relaxed structure of PaBiH2. The functional is PBE-GGA.

Output
Size of the total moment, μB per formula unit: 1.08
VASP energy, eV/atom: -5.222

Cell lengths 6.1450, 6.1450, 6.1450 Å; angles 35.82, 35.82, 35.82 degrees
Closest atoms and distances in Å follow each position.
Sites, in units of the cell vectors:
1 Pa 0.0000 0.0000 0.0000  6 H 2.19-2.27
2 Bi 0.1879 0.1879 0.1879  7 H 3.14-3.47, 4 Pa 3.24-3.32
3 H 0.3702 0.3702 0.3702  3 H 2.23, 3 Pa 2.27
4 H 0.6780 0.6780 0.6780  3 Pa 2.19, 3 H 2.23

---

[5]
This record from the Alexandria database describes a relaxed structure of Ag5AuBr12. The functional is PBE-GGA.

Output
Size of the total moment, μB per formula unit: 0.00
Formation energy (no corrections), meV per atom: -190

Cell lengths 6.5627, 7.3408, 12.8506 Å; angles 87.42, 86.86, 63.66 degrees
Closest atoms and distances in Å follow each position.
Sites, in units of the cell vectors:
1 Ag 0.0000 0.0000 0.0000  4 Br 2.61-2.72
2 Ag 0.3350 0.3329 0.0060  4 Br 2.62-2.65
3 Ag 0.3466 0.3367 0.5044  4 Br 2.64-2.83
4 Ag 0.6534 0.6633 0.4956  4 Br 2.64-2.83
5 Ag 0.6650 0.6671 0.9940  4 Br 2.62-2.65
6 Au 0.0000 0.0000 0.5000  4 Br 2.49-2.51
7 Br 0.0044 0.4025 0.8777  2 Ag 2.65
8 Br 0.0480 0.2327 0.6231  1 Au 2.51, 1 Ag 2.76
9 Br 0.2722 0.0650 0.3797  1 Au 2.49
10 Br 0.3314 0.7415 0.8686  2 Ag 2.63-2.72
11 Br 0.3421 0.9174 0.1185  2 Ag 2.61-2.62
12 Br 0.4006 0.5775 0.6371  2 Ag 2.64-2.66
13 Br 0.5994 0.4225 0.3629  2 Ag 2.64-2.66
14 Br 0.6579 0.0826 0.8815  2 Ag 2.61-2.62
15 Br 0.6686 0.2585 0.1314  2 Ag 2.63-2.72
16 Br 0.7278 0.9350 0.6203  1 Au 2.49
17 Br 0.9520 0.7673 0.3769  1 Au 2.51, 1 Ag 2.76
18 Br 0.9956 0.5975 0.1223  2 Ag 2.65

---

[6]
This record from the Alexandria database describes a relaxed structure of Sm2Ho3Tc2. The functional is PBE-GGA.

Output
Size of the total moment, μB per formula unit: 0.00
Energy relative to the elements, meV/atom: -45

Cell lengths 6.3058, 6.3058, 8.5052 Å; angles 111.76, 111.76, 36.30 degrees
Closest atoms and distances in Å follow each position.
Sites, in units of the cell vectors:
1 Sm 0.1618 0.1618 0.3092  2 Tc 2.85
2 Sm 0.8382 0.8382 0.6908  2 Tc 2.85
3 Ho 0.3742 0.3742 0.0715  3 Tc 2.88-3.04
4 Ho 0.5000 0.5000 0.5000  4 Tc 2.93
5 Ho 0.6258 0.6258 0.9285  3 Tc 2.88-3.04
6 Tc 0.1736 0.1736 0.7154  2 Sm 2.85, 5 Ho 2.88-3.04
7 Tc 0.8264 0.8264 0.2846  2 Sm 2.85, 5 Ho 2.88-3.04

---

[7]
This record from the Alexandria database describes a relaxed structure of PrTmLuPu. The functional is PBE-GGA.

Output
Size of the total moment, μB per formula unit: 6.02
Energy relative to the elements, meV/atom: 191

Cell lengths 5.5980, 5.5980, 5.5980 Å; angles 60.00, 60.00, 60.00 degrees
Closest atoms and distances in Å follow each position.
Sites, in units of the cell vectors:
1 Pr 0.0000 0.0000 0.0000  4 Tm 3.43, 4 Lu 3.43
2 Tm 0.7500 0.7500 0.7500  4 Pu 3.43, 4 Pr 3.43
3 Lu 0.2500 0.2500 0.2500  4 Pu 3.43, 4 Pr 3.43
4 Pu 0.5000 0.5000 0.5000  4 Tm 3.43, 4 Lu 3.43

---

[8]
This record from the Alexandria database describes a relaxed structure of NdDy2Pt2. The functional is PBE-GGA.

Output
Size of the total moment, μB per formula unit: 0.00
Energy relative to the elements, meV/atom: -891

Cell lengths 4.6887, 4.6887, 6.6925 Å; angles 109.78, 109.78, 89.93 degrees
Closest atoms and distances in Å follow each position.
Sites, in units of the cell vectors:
1 Nd 0.0000 0.0000 0.0000  8 Pt 3.52-3.63, 8 Dy 3.74-3.78
2 Dy 0.2508 0.7492 0.5000  4 Pt 2.84-2.85
3 Dy 0.7492 0.2508 0.5000  4 Pt 2.84-2.85
4 Pt 0.3820 0.3820 0.7744  1 Pt 2.65, 4 Dy 2.84-2.85
5 Pt 0.6180 0.6180 0.2256  1 Pt 2.65, 4 Dy 2.84-2.85

---

[9]
This record from the Alexandria database describes a relaxed structure of MgCoNi3. The functional is PBE-GGA.

Output
Size of the total moment, μB per formula unit: 3.65
Energy relative to the elements, meV/atom: 657

Cell lengths 4.2956, 4.2956, 4.2956 Å; angles 90.00, 90.00, 90.00 degrees
Closest atoms and distances in Å follow each position.
Sites, in units of the cell vectors:
1 Mg 0.0000 0.0000 0.0000  12 Ni 3.04
2 Co 0.5000 0.5000 0.5000  6 Ni 2.15
3 Ni 0.0000 0.5000 0.5000  2 Co 2.15
4 Ni 0.5000 0.0000 0.5000  2 Co 2.15
5 Ni 0.5000 0.5000 0.0000  2 Co 2.15

---

[10]
This record from the Alexandria database describes a relaxed structure of Hf3TlOs. The functional is PBE-GGA.

Output
Size of the total moment, μB per formula unit: 0.00
Energy relative to the elements, meV/atom: 354

Cell lengths 5.0383, 5.0383, 5.0383 Å; angles 90.00, 90.00, 90.00 degrees
Closest atoms and distances in Å follow each position.
Sites, in units of the cell vectors:
1 Hf 0.0000 0.0000 0.5000  2 Os 2.52
2 Hf 0.0000 0.5000 0.0000  2 Os 2.52
3 Hf 0.5000 0.0000 0.0000  2 Os 2.52
4 Tl 0.5000 0.5000 0.5000  12 Hf 3.56
5 Os 0.0000 0.0000 0.0000  6 Hf 2.52

---

[11]
This record from the Alexandria database describes a relaxed structure of Ho2Er8Sc. The functional is PBE-GGA.

Output
Size of the total moment, μB per formula unit: 0.01
Energy relative to the elements, meV/atom: 108

Cell lengths 8.9700, 8.9700, 8.2627 Å; angles 116.32, 116.32, 34.80 degrees
Closest atoms and distances in Å follow each position.
Sites, in units of the cell vectors:
1 Ho 0.2032 0.2032 0.1590  10 Er 3.21-3.57
2 Ho 0.7968 0.7968 0.8410  10 Er 3.21-3.57
3 Er 0.0153 0.0153 0.2215  7 Er 3.34-3.49, 2 Ho 3.49-3.60, 2 Sc 3.62
4 Er 0.1562 0.1562 0.6906  8 Er 3.34-3.69, 3 Ho 3.43-3.57, 2 Sc 3.59
5 Er 0.3393 0.3393 0.6125  1 Sc 3.29, 3 Ho 3.37-3.54, 4 Er 3.47-3.48
6 Er 0.3837 0.3837 0.0674  1 Sc 3.18, 3 Ho 3.21-3.51, 3 Er 3.35-3.47
7 Er 0.6163 0.6163 0.9326  1 Sc 3.18, 3 Ho 3.21-3.51, 3 Er 3.35-3.47
8 Er 0.6607 0.6607 0.3875  1 Sc 3.29, 3 Ho 3.37-3.54, 4 Er 3.47-3.48
9 Er 0.8438 0.8438 0.3094  8 Er 3.34-3.69, 3 Ho 3.43-3.57, 2 Sc 3.59
10 Er 0.9847 0.9847 0.7785  7 Er 3.34-3.49, 2 Ho 3.49-3.60, 2 Sc 3.62
11 Sc 0.5000 0.5000 0.5000  4 Er 3.18-3.29